1.
The following is a DFT calculation (PBE-GGA) of a relaxed Co2Ge2Pb crystal.

calculated density: 9.88 g cm⁻³
final energy: -52.32 eV for the cell shown
crystal system: tetragonal

abc: 7.3754 7.3754 2.9056
angles: 90.00 90.00 90.00
Site moments in Bohr magnetons follow the coordinates.
Positions (direct):
Pb  0.0000  0.0000  0.0000  0.01
Pb  0.5000  0.5000  0.0000  0.01
Ge  0.1420  0.6420  0.5000  -0.01
Ge  0.6420  0.8580  0.5000  -0.01
Ge  0.8580  0.3580  0.5000  -0.01
Ge  0.3580  0.1420  0.5000  -0.01
Co  0.3618  0.8618  0.0000  0.16
Co  0.8618  0.6382  0.0000  0.17
Co  0.6382  0.1382  0.0000  0.16
Co  0.1382  0.3618  0.0000  0.17

2.
The following is a DFT calculation (PBE-GGA) of a relaxed CoGePb2 crystal.

calculated density: 8.41 g cm⁻³
final energy: -33.25 eV for the cell shown
crystal system: tetragonal

abc: 5.1688 5.1688 8.8568
angles: 73.03 73.03 90.00
Site moments in Bohr magnetons follow the coordinates.
Positions (direct):
Pb  0.5720  0.1250  0.2500  -0.03
Pb  0.1780  0.6250  0.2500  -0.03
Pb  0.3750  0.4280  0.7500  -0.03
Pb  0.8750  0.8220  0.7500  -0.03
Ge  0.0000  0.0000  0.0000  -0.01
Ge  0.7500  0.2500  0.5000  -0.01
Co  0.5000  0.5000  0.0000  1.21
Co  0.2500  0.7500  0.5000  1.21

3.
The following is a DFT calculation (PBE-GGA) of a relaxed CoGePb3 crystal.

calculated density: 9.48 g cm⁻³
final energy: -21.00 eV for the cell shown
crystal system: cubic

abc: 5.0904 5.0904 5.0904
angles: 90.00 90.00 90.00
Positions (direct):
Pb  0.0000  0.5000  0.0000
Pb  0.0000  0.0000  0.5000
Pb  0.5000  0.0000  0.0000
Ge  0.5000  0.5000  0.5000
Co  0.0000  0.0000  0.0000

4.
The following is a DFT calculation (PBE-GGA) of a relaxed CoGe2Pb2 crystal.

calculated density: 9.56 g cm⁻³
final energy: -45.46 eV for the cell shown
crystal system: tetragonal

abc: 6.4146 6.4146 5.2218
angles: 90.00 90.00 90.00
Positions (direct):
Pb  0.1797  0.6797  0.5000
Pb  0.6797  0.8203  0.5000
Pb  0.8203  0.3203  0.5000
Pb  0.3203  0.1797  0.5000
Ge  0.3518  0.8518  0.0000
Ge  0.8518  0.6482  0.0000
Ge  0.6482  0.1482  0.0000
Ge  0.1482  0.3518  0.0000
Co  0.0000  0.0000  0.0000
Co  0.5000  0.5000  0.0000

5.
The following is a DFT calculation (PBE-GGA) of a relaxed Co2Ge2Pd crystal.

calculated density: 8.60 g cm⁻³
final energy: -27.98 eV for the cell shown
crystal system: tetragonal

abc: 3.7052 3.7052 5.8231
angles: 71.45 71.45 90.00
Site moments in Bohr magnetons follow the coordinates.
Positions (direct):
Ge  0.7500  0.2500  0.5000  -0.02
Ge  0.2500  0.7500  0.5000  -0.02
Co  0.3915  0.3915  0.2169  0.34
Co  0.6085  0.6085  0.7831  0.34
Pd  0.0000  0.0000  0.0000  0.16

6.
The following is a DFT calculation (PBE-GGA) of a relaxed Co2Ge2Pd crystal.

calculated density: 9.42 g cm⁻³
final energy: -59.10 eV for the cell shown
crystal system: tetragonal

abc: 6.9101 6.9101 2.7301
angles: 90.00 90.00 90.00
Positions (direct):
Ge  0.1636  0.6636  0.5000
Ge  0.6636  0.8364  0.5000
Ge  0.8364  0.3364  0.5000
Ge  0.3364  0.1636  0.5000
Co  0.3663  0.8663  0.0000
Co  0.8663  0.6337  0.0000
Co  0.6337  0.1337  0.0000
Co  0.1337  0.3663  0.0000
Pd  0.0000  0.0000  0.0000
Pd  0.5000  0.5000  0.0000